# Tb3Pr2Y5

A relaxed structure of Tb3Pr2Y5 (PBE-GGA, Alexandria via LeMat-Bulk).

Cell lengths 10.718, 16.389, 9.330 Å; angles 90.00, 125.04, 90.00 degrees
Space group C2/c (No. 15)
Asymmetric unit:
Tb 0.000 0.225 0.250 x4
Tb 0.147 0.127 0.049 x8
Pr 0.150 0.375 0.544 x8
Y 0.000 0.022 0.250 x4
Y 0.000 0.276 0.750 x4
Y 0.000 0.475 0.750 x4
Y 0.248 0.372 0.240 x8

Polymorph energy (0 for the lowest one): 0.000 eV per atom
Raw total energy: -5.40 eV per atom

=====

# Mn2TcSb

A relaxed structure of Mn2TcSb (PBE-GGA, Alexandria via LeMat-Bulk).

Cell lengths 3.0149, 3.0149, 25.4041 Å; angles 90.00, 90.00, 120.00 degrees
Space group R-3m (No. 166, hexagonal axes)
Asymmetric unit:
Mn 0.0000 0.0000 0.2438 x6
Tc 0.0000 0.0000 0.5000 x3
Sb 0.0000 0.0000 0.0000 x3

Energy relative to the elements, uncorrected: 1.7 eV/f.u.
Raw total energy: -7.78 eV per atom

=====

Copy entry 2 word for word.
# Mn2TcSb

A relaxed structure of Mn2TcSb (PBE-GGA, Alexandria via LeMat-Bulk).

Cell lengths 3.0149, 3.0149, 25.4041 Å; angles 90.00, 90.00, 120.00 degrees
Space group R-3m (No. 166, hexagonal axes)
Asymmetric unit:
Mn 0.0000 0.0000 0.2438 x6
Tc 0.0000 0.0000 0.5000 x3
Sb 0.0000 0.0000 0.0000 x3

Energy relative to the elements, uncorrected: 1.7 eV/f.u.
Raw total energy: -7.78 eV per atom

=====

Q: Among the records above, which one has the lowest raw total energy?
A: Mn2TcSb

=====

Q: The highest raw total energy belongs to which entry?
A: Tb3Pr2Y5

=====

Q: Among the records above, which one has the lowest raw total energy?
A: Mn2TcSb